Record 1
# Hg3TeH

A geometry-optimized Hg3TeH structure (PBE, the Alexandria database).

a = 6.143 Å, b = 6.143 Å, c = 6.143 Å
α = 90.00°, β = 90.00°, γ = 90.00°
Each line ends with the local moment (μB).
Fractional positions:
1 Te 0.000 0.000 0.000  0.00
2 H 0.500 0.500 0.500  0.38
3 Hg 0.000 0.500 0.000  0.00
4 Hg 0.000 0.000 0.500  0.00
5 Hg 0.500 0.000 0.000  0.01

Output
Total magnetization   1.0 μB per cell
Symmetry   Pm-3m (221)
E_tot   -0.908 eV per atom
Polymorph energy (0 for the lowest one)   2.54 eV/f.u.

Record 2
# HgTeH

A geometry-optimized HgTeH structure (PBE, the Alexandria database).

a = 16.490 Å, b = 5.741 Å, c = 4.395 Å
α = 90.00°, β = 125.34°, γ = 90.00°
Fractional positions:
1 Hg 0.731 0.207 0.659
2 Hg 0.769 0.707 0.341
3 Hg 0.231 0.293 0.659
4 Hg 0.269 0.793 0.341
5 H 0.922 0.749 0.034
6 H 0.578 0.249 0.966
7 H 0.422 0.751 0.034
8 H 0.078 0.251 0.966
9 Te 0.476 0.251 0.517
10 Te 0.024 0.751 0.483
11 Te 0.976 0.249 0.517
12 Te 0.524 0.749 0.483

Output
Total magnetization   0.0 μB per cell
Symmetry   P2_1/c (14)
E_tot   -2.118 eV per atom
Polymorph energy (0 for the lowest one)   0.40 eV/f.u.

Record 3
# HgTe2H2

A geometry-optimized HgTe2H2 structure (PBE, the Alexandria database).

a = 3.818 Å, b = 3.818 Å, c = 6.764 Å
α = 73.61°, β = 73.61°, γ = 90.00°
Fractional positions:
1 H 0.750 0.250 0.500
2 H 0.250 0.750 0.500
3 Te 0.353 0.353 0.294
4 Te 0.647 0.647 0.706
5 Hg 0.000 0.000 0.000

Output
Total magnetization   0.0 μB per cell
Symmetry   I4/mmm (139)
E_tot   -2.106 eV per atom
Polymorph energy (0 for the lowest one)   2.15 eV/f.u.

Record 4
# HgTe3H

A geometry-optimized HgTe3H structure (PBE, the Alexandria database).

a = 4.878 Å, b = 4.878 Å, c = 4.878 Å
α = 90.00°, β = 90.00°, γ = 90.00°
Fractional positions:
1 Te 0.000 0.500 0.000
2 Te 0.000 0.000 0.500
3 Te 0.500 0.000 0.000
4 Hg 0.500 0.500 0.500
5 H 0.000 0.000 0.000

Output
Total magnetization   0.0 μB per cell
Symmetry   Pm-3m (221)
E_tot   -2.055 eV per atom
Polymorph energy (0 for the lowest one)   0.00 eV/f.u.

Record 5
# Hg3Te2H2

A geometry-optimized Hg3Te2H2 structure (PBE, the Alexandria database).

a = 4.617 Å, b = 5.053 Å, c = 10.149 Å
α = 96.95°, β = 76.86°, γ = 62.85°
Fractional positions:
1 Hg 0.500 0.000 0.000
2 Hg 0.520 0.354 0.606
3 Hg 0.480 0.646 0.394
4 H 0.810 0.515 0.865
5 H 0.190 0.485 0.135
6 Te 0.950 0.847 0.253
7 Te 0.050 0.153 0.747

Output
Total magnetization   0.0 μB per cell
Symmetry   C2/m (12)
E_tot   -1.888 eV per atom

Record 6
# Hg2TeH3

A geometry-optimized Hg2TeH3 structure (PBE, the Alexandria database).

a = 6.583 Å, b = 7.354 Å, c = 11.841 Å
α = 119.42°, β = 78.45°, γ = 149.03°
Fractional positions:
1 Te 0.761 0.510 0.752
2 Te 0.239 0.490 0.248
3 Hg 0.929 0.178 0.581
4 Hg 0.071 0.822 0.419
5 Hg 0.442 0.191 0.086
6 Hg 0.558 0.809 0.914
7 H 0.962 0.696 0.091
8 H 0.549 0.315 0.413
9 H 0.038 0.304 0.909
10 H 0.451 0.685 0.587
11 H 0.561 0.885 0.229
12 H 0.439 0.115 0.771

Output
Total magnetization   0.0 μB per cell
Symmetry   P-1 (2)
E_tot   -2.061 eV per atom

Record 7
# HgTeH2

A geometry-optimized HgTeH2 structure (PBE, the Alexandria database).

a = 5.172 Å, b = 4.881 Å, c = 5.080 Å
α = 101.54°, β = 89.68°, γ = 140.29°
Fractional positions:
1 Te 0.500 0.750 0.250
2 H 0.882 0.300 0.115
3 H 0.118 0.200 0.385
4 Hg 0.500 0.250 0.750

Output
Total magnetization   0.0 μB per cell
Symmetry   P-1 (2)
E_tot   -2.099 eV per atom
Polymorph energy (0 for the lowest one)   0.65 eV/f.u.

Record 8
# HgTeH

A geometry-optimized HgTeH structure (PBE, the Alexandria database).

a = 4.384 Å, b = 6.290 Å, c = 6.806 Å
α = 89.91°, β = 118.13°, γ = 68.93°
Fractional positions:
1 H 0.582 0.353 0.882
2 H 0.418 0.647 0.118
3 Hg 0.996 0.751 0.498
4 Hg 0.004 0.249 0.502
5 Te 0.940 0.765 0.982
6 Te 0.060 0.235 0.018

Output
Total magnetization   0.0 μB per cell
Symmetry   P-1 (2)
E_tot   -2.107 eV per atom
Polymorph energy (0 for the lowest one)   0.44 eV/f.u.